--- w ---
DFT (PBE) results for a relaxed ScVSn crystal.

Structure (POSCAR):
```
ScVSn
1.0
3.4894 0.0000 0.0000
0.0000 3.4894 0.0000
-1.7447 -1.7447 4.7272
Sn V Sc
1 1 1
direct
0.6044 0.6044 0.2089
0.9550 0.9550 0.9100
0.2905 0.2905 0.5811
```

Output
Its space group is I4mm, No. 107. The total magnetization comes out at 0.0917 μB/atom.

---

--- x ---
DFT (PBE) results for a relaxed ScVSn crystal.

Structure (POSCAR):
```
ScVSn
1.0
3.2001 0.0000 0.0000
1.6000 4.9824 -1.2674
1.6000 -4.2396 8.8978
Sn V Sc
2 2 2
direct
0.2734 0.8703 0.5829
0.7266 0.1297 0.4171
0.8849 0.2871 0.9431
0.1151 0.7129 0.0569
0.2277 0.3293 0.2153
0.7723 0.6707 0.7847
```

Output
Its space group is C2/m, No. 12. The total magnetization comes out at 0.0001 μB/atom.

---

Pick w: it beats the second-best structure by 0.192 eV/atom.

---

--- w ---
DFT (PBE) results for a relaxed Sc3SnW crystal.

Structure (POSCAR):
```
Sc3SnW
1.0
-2.6353 -1.6832 4.2103
4.5301 -0.7674 2.5287
-0.1955 4.9074 1.8395
Sc Sn W
3 1 1
direct
0.5000 0.0000 0.0000
0.0000 0.5000 0.0000
0.0000 0.0000 0.5000
0.0000 0.0000 0.0000
0.5000 0.5000 0.5000
```

Output
Its space group is Pm-3m, No. 221. The total magnetization comes out at 0.6201 μB/atom.

---

--- x ---
DFT (PBE) results for a relaxed Sc3SnW crystal.

Structure (POSCAR):
```
Sc3SnW
1.0
-2.5058 3.2307 -2.9841
-3.7614 0.2055 3.3810
2.2791 3.8912 2.2990
Sn Sc W
1 3 1
direct
0.5000 0.5000 0.5000
0.0000 0.5000 0.0000
0.5000 0.0000 0.0000
0.0000 0.0000 0.5000
0.0000 0.0000 0.0000
```

Output
Its space group is Pm-3m, No. 221. The total magnetization comes out at 0.0000 μB/atom.

---

Pick x: it beats the second-best structure by 0.789 eV/atom.

---

--- w ---
DFT (PBE) results for a relaxed Sc2ZnSn2 crystal.

Structure (POSCAR):
```
Sc2ZnSn2
1.0
8.3662 0.0000 0.0000
0.0000 8.3662 0.0000
0.0000 0.0000 3.4118
Sn Sc Zn
4 4 2
direct
0.8309 0.3309 0.5000
0.6691 0.8309 0.5000
0.1691 0.6691 0.5000
0.3309 0.1691 0.5000
0.8657 0.6343 0.0000
0.1343 0.3657 0.0000
0.3657 0.8657 0.0000
0.6343 0.1343 0.0000
0.0000 0.0000 0.0000
0.5000 0.5000 0.0000
```

Output
Its space group is P4/mbm, No. 127. The total magnetization comes out at 0.0000 μB/atom.

---

--- x ---
DFT (PBE) results for a relaxed Sc2ZnSn2 crystal.

Structure (POSCAR):
```
Sc2ZnSn2
1.0
-6.0244 -1.7730 -3.5002
-3.4251 -0.7525 6.2762
-1.1507 4.1640 -0.1287
Zn Sc Sn
2 4 4
direct
0.0000 0.0000 0.0000
0.5000 0.5000 0.0000
0.8309 0.3309 0.5000
0.6691 0.8309 0.5000
0.3309 0.1691 0.5000
0.1691 0.6691 0.5000
0.8607 0.6393 0.0000
0.3607 0.8607 0.0000
0.6393 0.1393 0.0000
0.1393 0.3607 0.0000
```

Output
Its space group is P4/mbm, No. 127. The total magnetization comes out at 0.0000 μB/atom.

---

Pick x: it beats the second-best structure by 0.147 eV/atom.

---

--- w ---
DFT (PBE) results for a relaxed ScZn3Sn crystal.

Structure (POSCAR):
```
ScZn3Sn
1.0
-4.5391 2.0546 -0.8371
-0.6105 -2.9894 -4.0269
-2.1329 -3.5168 2.9341
Sn Zn Sc
1 3 1
direct
0.0000 0.0000 0.0000
0.0000 0.5000 0.0000
0.5000 0.0000 0.0000
0.0000 0.0000 0.5000
0.5000 0.5000 0.5000
```

Output
Its space group is Pm-3m, No. 221. The total magnetization comes out at 0.0000 μB/atom.

---

--- x ---
DFT (PBE) results for a relaxed ScZn3Sn crystal.

Structure (POSCAR):
```
ScZn3Sn
1.0
-0.2143 3.1311 4.0890
-4.6815 1.5872 -1.4607
-2.1463 -3.7745 2.7778
Sc Zn Sn
1 3 1
direct
0.0000 0.0000 0.0000
0.0000 0.0000 0.5000
0.0000 0.5000 0.0000
0.5000 0.0000 0.0000
0.5000 0.5000 0.5000
```

Output
Its space group is Pm-3m, No. 221. The total magnetization comes out at 0.0000 μB/atom.

---

Pick w: it beats the second-best structure by 0.117 eV/atom.

---

--- w ---
DFT (PBE) results for a relaxed Zr4ScSn2 crystal.

Structure (POSCAR):
```
Zr4ScSn2
1.0
3.8013 0.1240 -0.3071
-0.1887 3.7151 -0.8544
2.7913 0.6925 10.9620
Zr Sn Sc
4 2 1
direct
0.8595 0.1400 0.2798
0.7176 0.2823 0.5648
0.1405 0.8600 0.7202
0.2824 0.7177 0.4352
0.4264 0.5734 0.1471
0.5736 0.4266 0.8529
0.0000 0.0000 0.0000
```

Output
Its space group is C2/m, No. 12. The total magnetization comes out at 0.0000 μB/atom.

---

--- x ---
DFT (PBE) results for a relaxed Zr4ScSn2 crystal.

Structure (POSCAR):
```
Zr4ScSn2
1.0
4.6907 0.0000 0.0000
0.0000 4.6907 0.0000
-2.3453 -2.3453 7.9967
Sc Zr Sn
1 4 2
direct
0.0000 0.0000 0.0000
0.5000 0.0000 0.0000
0.1843 0.1843 0.3686
0.8157 0.8157 0.6314
0.0000 0.5000 0.0000
0.3652 0.3652 0.7305
0.6348 0.6348 0.2695
```

Output
Its space group is I4/mmm, No. 139. The total magnetization comes out at 0.0000 μB/atom.

---

Pick w: it beats the second-best structure by 0.802 eV/atom.

---

--- w ---
DFT (PBE) results for a relaxed ZrSc3Sn crystal.

Structure (POSCAR):
```
ZrSc3Sn
1.0
-5.1993 1.1101 0.0543
-0.8776 -4.2598 3.0580
0.6821 2.9815 4.3489
Sc Sn Zr
3 1 1
direct
0.0000 0.0000 0.5000
0.5000 0.0000 0.0000
0.0000 0.5000 0.0000
0.0000 0.0000 0.0000
0.5000 0.5000 0.5000
```

Output
Its space group is Pm-3m, No. 221. The total magnetization comes out at 0.7047 μB/atom.

---

--- x ---
DFT (PBE) results for a relaxed ZrSc3Sn crystal.

Structure (POSCAR):
```
ZrSc3Sn
1.0
-3.3719 3.8357 -0.5718
0.3568 -0.4476 -5.1070
-3.8616 -3.3906 0.0274
Sc Zr Sn
3 1 1
direct
0.5000 0.0000 0.0000
0.0000 0.5000 0.0000
0.0000 0.0000 0.5000
0.0000 0.0000 0.0000
0.5000 0.5000 0.5000
```

Output
Its space group is Pm-3m, No. 221. The total magnetization comes out at 0.0000 μB/atom.

---

Pick w: it beats the second-best structure by 0.053 eV/atom.